CaBiPdRh | GGA-PBE | optimized geometry

Properties
DFT formation energy, eV per atom: -0.42
Symmetry: F-43m
Fermi-level density of states, states/eV/cell: 2.98

a b c (Å): 4.843 4.843 4.843
angles (deg): 60.00 60.00 60.00
Element x y z (fractional)
Bi 0.250 0.250 0.250
Ca 0.750 0.750 0.750
Rh 0.500 0.500 0.500
Pd 0.000 0.000 0.000

CoAuC2N | GGA-PBE | optimized geometry

Properties
Calculated total energy, eV/atom: -5.37
Symmetry: P4/mmm
Fermi-level density of states, states/eV/cell: 3.15

a b c (Å): 3.465 5.326 3.465
angles (deg): 90.00 90.00 90.00
Site moments in Bohr magnetons follow the coordinates.
Element x y z (fractional)
Co 0.000 0.000 0.000  -0.01
C 0.000 0.000 0.500  -0.06
C 0.500 0.000 0.000  -0.02
N 0.500 0.500 0.500  0.67
Au 0.000 0.500 0.000  0.07

CePr12Y3 | GGA-PBE | optimized geometry

Properties
DFT formation energy, eV per atom: 0.03
Symmetry: P4/mmm
Fermi-level density of states, states/eV/cell: 29.01

a b c (Å): 5.205 5.205 20.771
angles (deg): 90.00 90.00 90.00
Site moments in Bohr magnetons follow the coordinates.
Element x y z (fractional)
Pr 0.500 0.000 0.375  0.00
Pr 0.000 0.500 0.876  0.01
Pr 0.000 0.500 0.625  0.00
Pr 0.500 0.500 0.500  0.00
Pr 0.500 0.000 0.124  0.01
Pr 0.000 0.500 0.375  0.00
Pr 0.500 0.500 0.749  0.00
Pr 0.000 0.500 0.124  0.01
Pr 0.500 0.000 0.876  0.01
Pr 0.500 0.500 0.251  0.00
Pr 0.500 0.500 0.000  0.02
Pr 0.500 0.000 0.625  0.00
Y 0.000 0.000 0.750  -0.01
Y 0.000 0.000 0.250  -0.01
Y 0.000 0.000 0.500  0.00
Ce 0.000 0.000 0.000  0.81

LiGeB | GGA-PBE | optimized geometry

Properties
DFT formation energy, eV per atom: 0.05
Symmetry: P-6m2
Fermi-level density of states, states/eV/cell: 0.47

a b c (Å): 3.517 3.517 3.987
angles (deg): 90.00 90.00 120.00
Element x y z (fractional)
Li 0.667 0.333 0.500
B 0.000 0.000 0.000
Ge 0.333 0.667 0.000

ErFeH3 | GGA-PBE | optimized geometry

Properties
Calculated total energy, eV/atom: -5.01
Symmetry: Pm-3m
Fermi-level density of states, states/eV/cell: 1.52

a b c (Å): 3.474 3.474 3.474
angles (deg): 90.00 90.00 90.00
Site moments in Bohr magnetons follow the coordinates.
Element x y z (fractional)
Er 0.500 0.500 0.500  -0.04
H 0.000 0.000 0.500  0.00
H 0.000 0.500 0.000  0.00
H 0.500 0.000 0.000  0.00
Fe 0.000 0.000 0.000  0.84

KSeS3 | GGA-PBE | optimized geometry

Properties
Calculated total energy, eV/atom: -1.80
Symmetry: Pm-3m
Fermi-level density of states, states/eV/cell: 20.33

a b c (Å): 5.413 5.413 5.413
angles (deg): 90.00 90.00 90.00
Element x y z (fractional)
S 0.000 0.500 0.000
S 0.500 0.000 0.000
S 0.000 0.000 0.500
Se 0.500 0.500 0.500
K 0.000 0.000 0.000

Pm2YHo2Sc2 | GGA-PBE | optimized geometry

Properties
DFT formation energy, eV per atom: 0.20
Symmetry: C2/m
Fermi-level density of states, states/eV/cell: 12.61

a b c (Å): 3.376 14.007 17.771
angles (deg): 163.42 90.00 96.92
Site moments in Bohr magnetons follow the coordinates.
Element x y z (fractional)
Sc 0.772 0.544 0.613  0.32
Sc 0.228 0.456 0.387  0.32
Ho 0.124 0.249 0.034  0.18
Ho 0.876 0.751 0.966  0.18
Y 0.000 0.000 0.500  0.00
Pm 0.568 0.137 0.774  0.02
Pm 0.432 0.863 0.226  0.02

InHg2 | GGA-PBE | optimized geometry

Properties
DFT formation energy, eV per atom: 0.01
Symmetry: P6_3/mmc
Fermi-level density of states, states/eV/cell: 1.46

a b c (Å): 5.242 5.242 6.711
angles (deg): 90.00 90.00 120.00
Element x y z (fractional)
Hg 0.667 0.333 0.750
Hg 0.000 0.000 0.000
Hg 0.000 0.000 0.500
Hg 0.333 0.667 0.250
In 0.333 0.667 0.750
In 0.667 0.333 0.250